(1)
Rb2ZrSeF after structural relaxation, computed with PBE-GGA.

Structure (POSCAR):
```
Rb2ZrSeF
1.0
4.818 0.000 0.000
0.000 7.086 0.000
0.000 0.000 4.818
Rb F Se Zr
2 1 1 1
Cartesian
0.000 0.000 2.409 Rb
2.409 0.000 0.000 Rb
0.000 0.000 0.000 F
0.000 3.543 0.000 Se
2.409 3.543 2.409 Zr
```

Calculated values
volume: 32.89 Å³/atom
uncorrected formation energy: -2.582 eV per formula unit
DOS at the Fermi energy: 0.74 states/eV/atom


(2)
Pr2Nd6Dy after structural relaxation, computed with PBE-GGA.

Structure (POSCAR):
```
Pr2Nd6Dy
1.0
-1.885 6.176 2.183
-8.964 -2.107 3.567
5.015 0.417 8.497
Pr Nd Dy
4 12 2
Cartesian
-2.504 -0.217 8.153 Pr
-4.020 2.767 9.042 Pr
-3.330 4.703 6.094 Pr
-1.813 1.718 5.204 Pr
0.323 4.377 5.690 Nd
-0.428 2.519 8.564 Nd
-6.345 3.344 11.716 Nd
-3.214 3.726 2.642 Nd
-6.637 4.656 7.799 Nd
-2.620 0.759 11.605 Nd
0.803 -0.171 6.448 Nd
0.511 1.141 2.531 Nd
-4.128 0.315 2.697 Nd
-1.706 4.170 11.550 Nd
-5.405 1.966 5.683 Nd
-6.157 0.109 8.557 Nd
-8.857 2.799 5.741 Dy
3.024 1.686 8.506 Dy
```

Calculated values
volume: 35.13 Å³/atom
E above lowest polymorph: 59 meV per atom
energy relative to the elements: 0.111 eV per atom
DOS at the Fermi energy: 1.53 states/eV/atom


(3)
TbErTlAu after structural relaxation, computed with PBE-GGA.

Structure (POSCAR):
```
TbErTlAu
1.0
-5.160 0.201 -0.832
-2.834 -4.395 0.078
-3.321 -0.901 3.939
Au Tb Er Tl
1 1 1 1
Cartesian
0.000 0.000 0.000 Au
-8.486 -3.821 2.388 Tb
-2.829 -1.274 0.796 Er
-5.658 -2.547 1.592 Tl
```

Calculated values
volume: 25.29 Å³/atom
E above lowest polymorph: 45 meV per atom
energy relative to the elements: -0.563 eV per atom
DOS at the Fermi energy: 0.77 states/eV/atom


(4)
Li7Se2O after structural relaxation, computed with PBE-GGA.

Structure (POSCAR):
```
Li7Se2O
1.0
6.062 0.000 0.000
3.031 5.250 0.000
3.031 1.750 4.950
Li O Se
7 1 2
Cartesian
7.797 4.501 1.058 Li
7.797 2.498 3.891 Li
4.327 4.501 1.058 Li
4.327 2.498 3.891 Li
6.062 3.500 2.475 Li
6.062 5.503 3.891 Li
6.062 1.497 1.058 Li
0.000 0.000 0.000 O
9.093 5.250 3.712 Se
3.031 1.750 1.237 Se
```

Calculated values
volume: 15.75 Å³/atom
uncorrected formation energy: -9.428 eV per formula unit
DOS at the Fermi energy: 0.21 states/eV/atom


(5)
NbGeRu after structural relaxation, computed with PBE-GGA.

Structure (POSCAR):
```
NbGeRu
1.0
5.328 0.000 -0.006
0.000 4.265 0.000
-0.507 0.000 8.317
Ge Nb Ru
4 4 4
Cartesian
2.468 2.133 6.669 Ge
2.721 0.000 2.510 Ge
4.965 2.133 0.702 Ge
4.712 0.000 4.861 Ge
2.044 0.000 5.159 Nb
0.937 2.133 3.652 Nb
0.683 0.000 7.810 Nb
2.297 2.133 1.001 Nb
0.118 0.000 2.159 Ru
3.408 0.000 7.722 Ru
3.661 2.133 3.564 Ru
-0.135 2.133 6.318 Ru
```

Calculated values
volume: 15.75 Å³/atom
energy relative to the elements: -0.219 eV per atom
DOS at the Fermi energy: 0.86 states/eV/atom


(6)
Ce2SmYTe5 after structural relaxation, computed with PBE-GGA.

Structure (POSCAR):
```
Ce2SmYTe5
1.0
5.638 0.000 0.000
0.000 5.638 0.000
0.000 0.000 11.613
Te Sm Y Ce
5 1 1 2
Cartesian
2.819 2.819 0.000 Te
2.819 0.000 5.807 Te
0.000 0.000 2.817 Te
0.000 2.819 5.807 Te
0.000 0.000 8.796 Te
0.000 0.000 5.807 Sm
0.000 0.000 0.000 Y
2.819 2.819 7.814 Ce
2.819 2.819 3.800 Ce
```

Calculated values
volume: 41.02 Å³/atom
uncorrected formation energy: -6.968 eV per formula unit
DOS at the Fermi energy: 2.11 states/eV/atom


Values of spin magnetization, in order: 2.70, 0.00, 0.00, 0.68, 0.00, 3.43, all in μB per formula unit.